1.
Here is a relaxed MoRu2Br crystal from the Alexandria database. Energies are from GGA-PBE.

## Properties
Calculated volume ... 64.66 Å³ per cell
Calculated density ... 9707 kg/m³
Formation energy from raw total energies ... 191 kJ/mol of formula units

```
MoRu2Br
1.0
-0.317 -2.801 -0.980
0.170 -1.001 2.807
-7.206 0.588 0.645
Ru Br Mo
2 1 1
Cartesian
-7.036 0.575 0.630
-3.772 0.308 0.338
-1.875 -1.754 1.074
-5.478 -1.460 1.397
```

=====

2.
Here is a relaxed MoRu3Br crystal from the Alexandria database. Energies are from GGA-PBE.

## Properties
Calculated volume ... 90.35 Å³ per cell
Calculated density ... 8804 kg/m³
Formation energy from raw total energies ... 892 kJ/mol of formula units

```
MoRu3Br
1.0
4.487 0.000 0.000
0.000 4.487 0.000
0.000 0.000 4.487
Ru Br Mo
3 1 1
Cartesian
0.000 2.244 0.000
2.244 0.000 0.000
0.000 0.000 2.244
0.000 0.000 0.000
2.244 2.244 2.244
```

=====

3.
Here is a relaxed MoRu2Br crystal from the Alexandria database. Energies are from GGA-PBE.

## Properties
Calculated volume ... 62.12 Å³ per cell
Calculated density ... 10103 kg/m³
Formation energy from raw total energies ... 379 kJ/mol of formula units

```
MoRu2Br
1.0
-2.585 -3.136 -2.835
0.788 -4.748 1.180
-1.181 4.041 2.614
Ru Br Mo
2 1 1
Cartesian
0.000 0.000 0.000
-0.646 -2.325 1.483
-0.899 -3.942 -0.828
-2.332 -1.519 -0.524
```

=====

4.
Here is a relaxed MoRu2Br crystal from the Alexandria database. Energies are from GGA-PBE.

## Properties
Calculated volume ... 62.25 Å³ per cell
Calculated density ... 10083 kg/m³
Formation energy from raw total energies ... 367 kJ/mol of formula units

```
MoRu2Br
1.0
-1.805 4.346 0.874
-4.130 -0.634 2.334
4.357 -1.778 0.875
Ru Br Mo
2 1 1
Cartesian
0.000 0.000 0.000
-2.968 1.856 1.604
-1.371 -0.278 2.407
-0.208 2.212 1.677
```

=====

> The lowest calculated density belongs to which entry?

MoRu3Br

=====

> formation energy from raw total energies of number 4 (MoRu2Br)?

367 kJ/mol of formula units